An optimized crystal structure of Zr4TiTe8, computed with GGA-PBE.

Formation energy (no corrections), eV per atom: -0.82

abc: 8.192 8.192 8.192
angles: 58.01 58.01 58.01
Sites, in units of the cell vectors:
Zr 0.000 0.000 0.000
Zr 0.000 0.500 0.500
Zr 0.500 0.000 0.500
Zr 0.500 0.500 0.000
Ti 0.500 0.500 0.500
Te 0.237 0.746 0.746
Te 0.246 0.246 0.246
Te 0.254 0.254 0.763
Te 0.254 0.763 0.254
Te 0.746 0.237 0.746
Te 0.746 0.746 0.237
Te 0.754 0.754 0.754
Te 0.763 0.254 0.254


An optimized crystal structure of ZrTiTe2, computed with GGA-PBE.

Formation energy (no corrections), eV per atom: -0.71
ΔE to the lowest computed polymorph, meV per atom: 0.0

abc: 16.636 3.656 8.274
angles: 90.00 119.13 90.00
Sites, in units of the cell vectors:
Zr 0.110 0.000 0.104
Zr 0.390 0.500 0.896
Zr 0.610 0.500 0.104
Zr 0.890 0.000 0.896
Ti 0.179 0.500 0.897
Ti 0.321 0.000 0.103
Ti 0.679 0.000 0.897
Ti 0.821 0.500 0.103
Te 0.007 0.500 0.223
Te 0.227 0.000 0.706
Te 0.273 0.500 0.294
Te 0.493 0.000 0.777
Te 0.507 0.000 0.223
Te 0.727 0.500 0.706
Te 0.773 0.000 0.294
Te 0.993 0.500 0.777


An optimized crystal structure of Zr8TiTe2, computed with GGA-PBE.

Formation energy (no corrections), eV per atom: -0.16

abc: 7.562 7.562 5.302
angles: 99.83 99.83 115.93
Sites, in units of the cell vectors:
Zr 0.086 0.308 0.616
Zr 0.219 0.781 0.000
Zr 0.308 0.086 0.616
Zr 0.378 0.378 0.167
Zr 0.622 0.622 0.833
Zr 0.692 0.914 0.384
Zr 0.781 0.219 0.000
Zr 0.914 0.692 0.384
Ti 0.000 0.000 0.000
Te 0.310 0.690 0.500
Te 0.690 0.310 0.500


An optimized crystal structure of Zr2TiTe4, computed with GGA-PBE.

Formation energy (no corrections), eV per atom: -0.85

abc: 15.088 3.886 7.110
angles: 90.00 117.37 90.00
Sites, in units of the cell vectors:
Zr 0.250 0.000 0.210
Zr 0.250 0.500 0.790
Zr 0.750 0.000 0.790
Zr 0.750 0.500 0.210
Ti 0.000 0.500 0.500
Ti 0.500 0.000 0.500
Te 0.103 0.500 0.941
Te 0.126 0.000 0.454
Te 0.374 0.500 0.546
Te 0.397 0.000 0.059
Te 0.603 0.000 0.941
Te 0.626 0.500 0.454
Te 0.874 0.000 0.546
Te 0.897 0.500 0.059


An optimized crystal structure of ZrTiTe4, computed with GGA-PBE.

Formation energy (no corrections), eV per atom: -0.77

abc: 15.255 3.861 6.735
angles: 90.00 115.72 90.00
Sites, in units of the cell vectors:
Zr 0.000 0.000 0.000
Zr 0.500 0.500 0.000
Ti 0.000 0.500 0.500
Ti 0.500 0.000 0.500
Te 0.127 0.000 0.781
Te 0.131 0.500 0.307
Te 0.369 0.000 0.693
Te 0.373 0.500 0.219
Te 0.627 0.500 0.781
Te 0.631 0.000 0.307
Te 0.869 0.500 0.693
Te 0.873 0.000 0.219


An optimized crystal structure of Zr4Ti2Te, computed with GGA-PBE.

Formation energy (no corrections), eV per atom: 0.74

abc: 5.277 5.277 13.223
angles: 90.00 90.00 90.00
Sites, in units of the cell vectors:
Zr 0.000 0.000 0.209
Zr 0.000 0.000 0.791
Zr 0.000 0.500 0.000
Zr 0.000 0.500 0.500
Zr 0.500 0.000 0.000
Zr 0.500 0.000 0.500
Zr 0.500 0.500 0.291
Zr 0.500 0.500 0.709
Ti 0.000 0.000 0.403
Ti 0.000 0.000 0.597
Ti 0.500 0.500 0.097
Ti 0.500 0.500 0.903
Te 0.000 0.000 0.000
Te 0.500 0.500 0.500


VASP energy (computed, eV per atom): -5.99, -6.39, -7.67, -6.21, -5.61, -6.85